# CeZrBi2

A relaxed CeZrBi2 crystal (PBE-GGA, Alexandria).

Results
* V: 122.7 Å³/f.u.
* N(E_F): 2.14 states/eV/atom
* SG: R3m, No. 160
* ΔE to the lowest computed polymorph: 0.000 eV per atom

a = 4.308 Å, b = 4.308 Å, c = 8.029 Å
α = 74.44°, β = 74.44°, γ = 60.00°
Last column: magnetic moment on the atom in μB.
Positions (direct):
Bi  0.244  0.244  0.267  -0.02
Zr  0.497  0.497  0.508  -0.11
Ce  0.670  0.670  0.991  0.70
Bi  0.088  0.088  0.735  -0.01


# Mg2MnRh

A relaxed Mg2MnRh crystal (PBE-GGA, Alexandria).

Results
* V: 64.8 Å³/f.u.
* N(E_F): 0.59 states/eV/atom
* SG: P4/mmm, No. 123

a = 4.031 Å, b = 4.025 Å, c = 3.995 Å
α = 90.00°, β = 90.00°, γ = 90.00°
Last column: magnetic moment on the atom in μB.
Positions (direct):
Mn  0.500  0.000  0.500  3.66
Rh  0.000  0.500  0.500  0.25
Mg  0.500  0.500  0.000  -0.02
Mg  0.000  0.000  0.000  -0.02


Formation energy from the elements readings, ordered: -444.8, -139.4 meV/atom
Calculated density readings, ordered: 8.79, 5.29 g/cm³